# 1
The following is a PBE calculation of a relaxed SmScAu crystal, from Alexandria via LeMat-Bulk.

## Properties
Symmetry: No. 156
Volume, Å³ per atom: 25.4
Total magnetic moment, μB per formula unit: 0.0
Energy, eV per atom: -5.21
Energy relative to the lowest polymorph listed for this composition, meV per atom: 166.1
ΔE_f, eV/f.u.: -1.31

```
3
Lattice="4.749 0.000 0.000 -2.375 4.113 0.000 0.000 0.000 3.895" Properties=species:S:1:pos:R:3 pbc="T T T"
Sm 0.000 0.000 0.000
Sc 2.375 1.371 1.925
Au 0.000 2.742 2.149
```

# 2
The following is a PBE calculation of a relaxed Nd2HoEr3Te6 crystal, from Alexandria via LeMat-Bulk.

## Properties
Symmetry: No. 12
Volume, Å³ per atom: 29.8
Total magnetic moment, μB per formula unit: 0.0
Energy, eV per atom: -5.18
Formation energy (no corrections), eV per atom: -1.29

```
12
Lattice="9.608 -2.169 0.000 9.608 2.169 0.000 -2.193 0.000 8.570" Properties=species:S:1:pos:R:3 pbc="T T T"
Nd 2.533 0.000 2.900
Nd 14.491 0.000 5.669
Ho 9.608 0.000 0.000
Er 1.483 0.000 7.165
Er 8.512 0.000 4.285
Er 15.540 0.000 1.404
Te -1.565 0.000 6.439
Te 4.422 0.000 7.946
Te 5.614 0.000 3.493
Te 11.409 0.000 5.077
Te 12.601 0.000 0.623
Te 18.589 0.000 2.130
```

# 3
The following is a PBE calculation of a relaxed Pr4IrPdI2 crystal, from Alexandria via LeMat-Bulk.

## Properties
Symmetry: No. 10
Volume, Å³ per atom: 32.4
Total magnetic moment, μB per formula unit: 0.0
Energy, eV per atom: -5.46
Formation energy (no corrections), eV per atom: -0.93

```
8
Lattice="7.402 0.000 0.000 0.000 4.277 0.000 -2.475 0.000 8.187" Properties=species:S:1:pos:R:3 pbc="T T T"
Pr 1.169 0.000 1.526
Pr -0.081 2.139 6.656
Pr 5.008 2.139 1.531
Pr 3.758 0.000 6.661
Ir 0.000 2.139 0.000
Pd 3.701 0.000 0.000
I -1.237 0.000 4.093
I 2.464 2.139 4.093
```

# 4
The following is a PBE calculation of a relaxed K2Re2Mo crystal, from Alexandria via LeMat-Bulk.

## Properties
Symmetry: No. 139
Volume, Å³ per atom: 22.1
Total magnetic moment, μB per formula unit: 0.2
Energy, eV per atom: -5.84
Energy relative to the lowest polymorph listed for this composition, meV per atom: 605.3
ΔE_f, eV/f.u.: 8.74

```
5
Lattice="-1.839 1.839 8.155 1.839 -1.839 8.155 1.839 1.839 -8.155" Properties=species:S:1:pos:R:3 pbc="T T T"
K 1.839 0.000 4.078
K 0.000 1.839 4.078
Re 0.000 0.000 1.122
Re 0.000 0.000 15.188
Mo 0.000 0.000 8.155
```

# 5
The following is a PBE calculation of a relaxed Ca4Ga2H crystal, from Alexandria via LeMat-Bulk.

## Properties
Symmetry: No. 11
Volume, Å³ per atom: 26.2
Total magnetic moment, μB per formula unit: 0.0
Energy, eV per atom: -2.84
Energy relative to the lowest polymorph listed for this composition, meV per atom: 0.0

```
14
Lattice="7.013 0.000 0.000 0.000 7.004 0.000 -1.753 0.000 7.464" Properties=species:S:1:pos:R:3 pbc="T T T"
Ca -0.246 0.124 2.024
Ca -0.246 3.378 2.024
Ca 2.442 5.253 0.424
Ca 2.028 5.253 4.684
Ca 3.231 1.751 2.779
Ca 2.817 1.751 7.040
Ca 5.505 3.625 5.439
Ca 5.505 6.880 5.439
Ga -0.190 1.751 7.433
Ga 0.831 1.751 4.753
Ga 4.428 5.253 2.710
Ga 5.449 5.253 0.030
H 0.011 5.253 5.756
H 5.248 1.751 1.708
```

# 6
The following is a PBE calculation of a relaxed La3CuB2Pt9 crystal, from Alexandria via LeMat-Bulk.

## Properties
Symmetry: No. 164
Volume, Å³ per atom: 18.4
Total magnetic moment, μB per formula unit: 0.0
Energy, eV per atom: -6.56
ΔE_f, eV/f.u.: -11.80

```
15
Lattice="5.821 0.000 0.000 -2.911 5.041 0.000 0.000 0.000 9.381" Properties=species:S:1:pos:R:3 pbc="T T T"
La 0.000 0.000 0.000
La 0.000 3.361 5.723
La 2.911 1.680 3.658
Cu 0.000 0.000 4.691
B 0.000 3.361 1.425
B 2.911 1.680 7.956
Pt -1.455 2.521 0.000
Pt 0.000 1.662 2.709
Pt -1.471 4.210 2.709
Pt 1.440 0.831 6.672
Pt 2.911 0.000 0.000
Pt 1.455 2.521 0.000
Pt 1.471 4.210 2.709
Pt 4.382 0.831 6.672
Pt 2.911 3.379 6.672
```

# 7
The following is a PBE calculation of a relaxed Ho2GaO crystal, from Alexandria via LeMat-Bulk.

## Properties
Symmetry: No. 123
Volume, Å³ per atom: 17.4
Total magnetic moment, μB per formula unit: 0.0
Energy, eV per atom: -5.50
Formation energy (no corrections), eV per atom: -1.22
Energy relative to the lowest polymorph listed for this composition, meV per atom: 294.0

```
4
Lattice="3.086 0.000 0.000 0.000 3.086 0.000 0.000 0.000 7.316" Properties=species:S:1:pos:R:3 pbc="T T T"
Ho 0.000 0.000 1.561
Ho 0.000 0.000 5.755
Ga 1.543 1.543 3.658
O 1.543 1.543 0.000
```

# 8
The following is a PBE calculation of a relaxed Be2GeBr crystal, from Alexandria via LeMat-Bulk.

## Properties
Symmetry: No. 8
Volume, Å³ per atom: 18.6
Total magnetic moment, μB per formula unit: 0.0
Energy, eV per atom: -3.41
Formation energy (no corrections), eV per atom: 0.03
Energy relative to the lowest polymorph listed for this composition, meV per atom: 159.7

```
8
Lattice="6.921 -1.836 0.000 6.921 1.836 0.000 -0.156 0.000 5.861" Properties=species:S:1:pos:R:3 pbc="T T T"
Be 0.000 0.000 0.000
Be 3.817 0.000 4.840
Be 7.105 0.000 4.384
Be 7.941 0.000 0.532
Ge 1.529 0.000 1.744
Ge 1.637 0.000 4.255
Br 5.258 0.000 3.220
Br 11.556 0.000 0.210
```

# 9
The following is a PBE calculation of a relaxed RbMgNb crystal, from Alexandria via LeMat-Bulk.

## Properties
Symmetry: No. 2
Volume, Å³ per atom: 35.3
Total magnetic moment, μB per formula unit: 0.0
Energy, eV per atom: -3.69
Energy relative to the lowest polymorph listed for this composition, meV per atom: 135.8
ΔE_f, eV/f.u.: 1.56

```
6
Lattice="3.266 0.000 0.000 0.410 4.688 0.000 0.404 -0.012 13.821" Properties=species:S:1:pos:R:3 pbc="T T T"
Rb 0.304 1.165 2.227
Rb 3.775 3.511 11.595
Mg 1.938 1.167 8.838
Mg 2.141 3.509 4.984
Nb 0.304 1.166 6.414
Nb 3.775 3.510 7.407
```

# 10
The following is a PBE calculation of a relaxed YMgIn3 crystal, from Alexandria via LeMat-Bulk.

## Properties
Symmetry: No. 15
Volume, Å³ per atom: 26.5
Total magnetic moment, μB per formula unit: 0.0
Energy, eV per atom: -3.43
Energy relative to the lowest polymorph listed for this composition, meV per atom: 0.0
ΔE_f, eV/f.u.: -0.87

```
20
Lattice="4.226 -7.243 0.000 4.226 7.243 0.000 -2.882 0.000 8.645" Properties=species:S:1:pos:R:3 pbc="T T T"
Y 2.064 5.822 6.483
Y 3.505 2.055 2.161
Y 2.064 -2.055 6.483
Y 3.505 -5.822 2.161
Mg 1.263 2.154 4.851
Mg 2.704 -2.154 0.528
Mg 2.865 2.154 8.116
Mg 4.306 -2.154 3.794
In 0.192 3.374 7.454
In 3.886 5.578 0.751
In 3.124 5.578 3.571
In 0.383 0.388 7.468
In 1.824 -0.388 3.145
In 3.936 3.374 5.513
In 1.633 -3.374 3.131
In 3.745 0.388 5.499
In 5.187 -0.388 1.177
In 2.445 -5.578 5.073
In 1.683 -5.578 7.893
In 5.377 -3.374 1.191
```

# 11
The following is a PBE calculation of a relaxed In2GeHPt crystal, from Alexandria via LeMat-Bulk.

## Properties
Symmetry: No. 123
Volume, Å³ per atom: 19.8
Total magnetic moment, μB per formula unit: 0.0
Energy, eV per atom: -3.86

```
5
Lattice="5.377 0.000 0.000 0.000 5.377 0.000 0.000 0.000 3.423" Properties=species:S:1:pos:R:3 pbc="T T T"
In 0.000 2.688 0.000
In 2.688 0.000 0.000
Ge 0.000 0.000 1.712
H 2.688 2.688 1.712
Pt 2.688 2.688 0.000
```

# 12
The following is a PBE calculation of a relaxed Ba3DyBi2O9 crystal, from Alexandria via LeMat-Bulk.

## Properties
Symmetry: No. 164
Volume, Å³ per atom: 16.9
Total magnetic moment, μB per formula unit: 0.0
Energy, eV per atom: -6.37
Formation energy (no corrections), eV per atom: -2.19

```
15
Lattice="6.202 0.000 0.000 -3.101 5.371 0.000 0.000 0.000 7.594" Properties=species:S:1:pos:R:3 pbc="T T T"
Ba 0.000 0.000 0.000
Ba 0.000 3.581 5.072
Ba 3.101 1.790 2.522
Dy 0.000 0.000 3.797
Bi 0.000 3.581 1.299
Bi 3.101 1.790 6.295
O -1.550 2.685 0.000
O 0.000 1.818 2.509
O -1.527 4.462 2.509
O 1.574 0.909 5.085
O 3.101 0.000 0.000
O 1.550 2.685 0.000
O 1.527 4.462 2.509
O 4.628 0.909 5.085
O 3.101 3.553 5.085
```

# 13
The following is a PBE calculation of a relaxed P2AuCl crystal, from Alexandria via LeMat-Bulk.

## Properties
Symmetry: No. 160
Volume, Å³ per atom: 20.3
Total magnetic moment, μB per formula unit: 0.0
Energy, eV per atom: -3.91
Formation energy (no corrections), eV per atom: 0.08
Energy relative to the lowest polymorph listed for this composition, meV per atom: 81.7

```
4
Lattice="1.701 0.982 8.097 -1.701 0.982 8.097 0.000 -1.964 8.097" Properties=species:S:1:pos:R:3 pbc="T T T"
P 0.000 0.000 0.000
P 0.000 0.000 6.823
Au 0.000 0.000 17.919
Cl 0.000 0.000 11.610
```

# 14
The following is a PBE calculation of a relaxed MgPdAu crystal, from Alexandria via LeMat-Bulk.

## Properties
Symmetry: No. 63
Volume, Å³ per atom: 16.9
Total magnetic moment, μB per formula unit: 0.0
Energy, eV per atom: -3.91
Energy relative to the lowest polymorph listed for this composition, meV per atom: 23.3
ΔE_f, eV/f.u.: -1.67

```
6
Lattice="2.284 -3.953 0.000 2.284 3.953 0.000 0.000 0.000 5.610" Properties=species:S:1:pos:R:3 pbc="T T T"
Mg 2.284 2.629 4.208
Mg 2.284 -2.629 1.403
Pd 2.284 0.000 0.000
Pd 2.284 0.000 2.805
Au 2.284 2.641 1.403
Au 2.284 -2.641 4.208
```

# 15
The following is a PBE calculation of a relaxed Er4HgRh2 crystal, from Alexandria via LeMat-Bulk.

## Properties
Symmetry: No. 1
Volume, Å³ per atom: 23.4
Total magnetic moment, μB per formula unit: 0.0
Energy, eV per atom: -5.40
ΔE_f, eV/f.u.: -4.56

```
14
Lattice="7.051 0.000 0.000 -1.953 6.978 0.000 -2.143 -2.991 6.658" Properties=species:S:1:pos:R:3 pbc="T T T"
Er 0.000 0.000 0.000
Er -1.380 3.587 1.293
Er -0.773 0.070 5.530
Er 1.330 -0.476 3.005
Er 0.253 3.036 4.428
Er 3.588 0.825 0.565
Er 2.955 5.438 2.653
Er 3.820 1.997 4.130
Hg 1.728 2.759 1.855
Hg 3.223 -0.790 5.246
Rh -1.028 1.082 2.591
Rh -2.042 4.506 4.614
Rh 0.565 5.372 0.534
Rh 1.474 1.615 6.355
```

# 16
The following is a PBE calculation of a relaxed LiCaCuS2 crystal, from Alexandria via LeMat-Bulk.

## Properties
Symmetry: No. 67
Volume, Å³ per atom: 18.3
Total magnetic moment, μB per formula unit: 0.0
Energy, eV per atom: -4.41
Formation energy (no corrections), eV per atom: -1.16

```
10
Lattice="2.752 -6.565 0.000 2.752 6.565 0.000 0.000 0.000 5.051" Properties=species:S:1:pos:R:3 pbc="T T T"
Li 1.376 0.000 0.000
Li 4.128 0.000 0.000
Ca 2.752 3.283 3.744
Ca 2.752 -3.283 1.307
Cu 0.000 0.000 2.526
Cu 2.752 0.000 2.526
S 2.752 4.857 1.209
S 2.752 1.708 1.209
S 2.752 -1.708 3.842
S 2.752 -4.857 3.842
```

# 17
The following is a PBE calculation of a relaxed KFeTc crystal, from Alexandria via LeMat-Bulk.

## Properties
Symmetry: No. 42
Volume, Å³ per atom: 18.7
Total magnetic moment, μB per formula unit: 2.9
Energy, eV per atom: -5.65
Energy relative to the lowest polymorph listed for this composition, meV per atom: 118.3
ΔE_f, eV/f.u.: 2.98

```
3
Lattice="0.000 2.288 7.850 1.565 0.000 7.850 1.565 2.288 0.000" Properties=species:S:1:pos:R:3 pbc="T T T"
K 0.000 0.000 0.000
Fe 1.565 2.288 10.862
Tc 1.565 2.288 4.879
```

# 18
The following is a PBE calculation of a relaxed Zn2InMo crystal, from Alexandria via LeMat-Bulk.

## Properties
Symmetry: No. 119
Volume, Å³ per atom: 16.6
Total magnetic moment, μB per formula unit: 0.4
Energy, eV per atom: -3.84
ΔE_f, eV/f.u.: 0.76

```
4
Lattice="-1.924 1.924 4.491 1.924 -1.924 4.491 1.924 1.924 -4.491" Properties=species:S:1:pos:R:3 pbc="T T T"
Zn 0.000 0.000 0.000
Zn 0.000 1.924 2.245
In 0.000 0.000 4.491
Mo 1.924 0.000 2.245
```

# 19
The following is a PBE calculation of a relaxed Sc2MnCo crystal, from Alexandria via LeMat-Bulk.

## Properties
Symmetry: No. 166
Volume, Å³ per atom: 18.5
Total magnetic moment, μB per formula unit: 3.5
Energy, eV per atom: -6.88
ΔE_f, eV/f.u.: 1.44

```
4
Lattice="1.525 0.881 9.202 -1.525 0.881 9.202 0.000 -1.761 9.202" Properties=species:S:1:pos:R:3 pbc="T T T"
Sc 0.000 0.000 2.751
Sc 0.000 0.000 24.856
Mn 0.000 0.000 0.000
Co 0.000 0.000 13.803
```

# 20
The following is a PBE calculation of a relaxed Gd2ScHg crystal, from Alexandria via LeMat-Bulk.

## Properties
Symmetry: No. 123
Volume, Å³ per atom: 27.0
Total magnetic moment, μB per formula unit: 15.4
Energy, eV per atom: -8.86
Energy relative to the lowest polymorph listed for this composition, meV per atom: 45.9
ΔE_f, eV/f.u.: -0.65

```
4
Lattice="5.416 0.000 0.000 0.000 5.416 0.000 0.000 0.000 3.684" Properties=species:S:1:pos:R:3 pbc="T T T"
Gd 0.000 2.708 0.000
Gd 2.708 0.000 0.000
Sc 0.000 0.000 1.842
Hg 2.708 2.708 1.842
```

# 21
The following is a PBE calculation of a relaxed SrTlPRu crystal, from Alexandria via LeMat-Bulk.

## Properties
Symmetry: No. 38
Volume, Å³ per atom: 23.3
Total magnetic moment, μB per formula unit: 0.0
Energy, eV per atom: -5.00
Energy relative to the lowest polymorph listed for this composition, meV per atom: 109.4
ΔE_f, eV/f.u.: -1.26

```
4
Lattice="3.647 0.000 0.000 0.000 2.128 6.008 0.000 -2.128 6.008" Properties=species:S:1:pos:R:3 pbc="T T T"
Sr 0.000 0.000 0.000
Tl 1.824 0.000 3.575
P 1.824 0.000 7.315
Ru 0.000 0.000 8.688
```

# 22
The following is a PBE calculation of a relaxed MgCrBr crystal, from Alexandria via LeMat-Bulk.

## Properties
Symmetry: No. 107
Volume, Å³ per atom: 22.5
Total magnetic moment, μB per formula unit: 4.4
Energy, eV per atom: -4.16
Formation energy (no corrections), eV per atom: 0.14
Energy relative to the lowest polymorph listed for this composition, meV per atom: 58.7

```
3
Lattice="-1.690 1.690 5.914 1.690 -1.690 5.914 1.690 1.690 -5.914" Properties=species:S:1:pos:R:3 pbc="T T T"
Mg 0.000 0.000 0.000
Cr 0.000 0.000 7.710
Br 0.000 0.000 3.507
```

# 23
The following is a PBE calculation of a relaxed Mg2Sn crystal, from Alexandria via LeMat-Bulk.

## Properties
Symmetry: No. 62
Volume, Å³ per atom: 24.2
Total magnetic moment, μB per formula unit: 0.0
Energy, eV per atom: -2.56
ΔE_f, eV/f.u.: -0.47

```
12
Lattice="7.635 0.000 0.000 0.000 4.423 0.000 0.000 0.000 8.615" Properties=species:S:1:pos:R:3 pbc="T T T"
Mg 0.314 1.106 1.440
Mg 0.994 1.106 4.790
Mg 2.823 3.317 0.483
Mg 3.504 3.317 5.748
Mg 4.131 1.106 2.867
Mg 4.811 1.106 8.132
Mg 6.641 3.317 3.825
Mg 7.321 3.317 7.175
Sn 1.894 1.106 7.464
Sn 1.924 3.317 3.157
Sn 5.711 1.106 5.458
Sn 5.741 3.317 1.151
```

# 24
The following is a PBE calculation of a relaxed NaAc2Pt2O6 crystal, from Alexandria via LeMat-Bulk.

## Properties
Symmetry: No. 166
Volume, Å³ per atom: 16.3
Total magnetic moment, μB per formula unit: 0.0
Energy, eV per atom: -6.11
Formation energy (no corrections), eV per atom: -1.44

```
11
Lattice="2.994 1.729 5.760 -2.994 1.729 5.760 0.000 -3.457 5.760" Properties=species:S:1:pos:R:3 pbc="T T T"
Na 0.000 0.000 0.000
Ac 0.000 0.000 3.730
Ac 0.000 0.000 13.550
Pt 0.000 0.000 7.173
Pt 0.000 0.000 10.107
O -1.682 -0.971 9.814
O 0.000 -1.943 7.466
O -1.682 0.971 7.466
O 1.682 -0.971 9.814
O 0.000 1.943 9.814
O 1.682 0.971 7.466
```